Compound: Tb2Pr6Y3Ho
Source: the Alexandria database
Functional: PBE
Structure: optimized geometry

ΔH_f (0 K) = 0.8 kJ per mole of atoms
D(E_F) = 1.140 states/eV/atom
Electronic total energy = -5.15 eV/atom

Cell lengths 6.3244, 10.9548, 11.9247 Å; angles 90.00, 100.16, 90.00 degrees
Last column: nearest neighbours and their distance in Å.
Space group C2/m (No. 12)
Inequivalent atoms, fractional coordinates:
Tb1 0.0000 0.1667 0.0000 x4  6 Pr 3.60-3.61, 3 Tb 3.65, 3 Ho 3.65
Pr1 0.2504 0.0000 0.2492 x4  1 Ho 3.60, 2 Tb 3.61, 3 Y 3.62, 6 Pr 3.65
Pr2 0.2499 0.1665 0.7508 x8  2 Tb 3.60-3.61, 1 Ho 3.61, 3 Y 3.62, 6 Pr 3.65
Y1 0.0000 0.0000 0.5000 x2  6 Pr 3.62, 6 Y 3.65
Y2 0.0000 0.3334 0.5000 x4  6 Pr 3.62, 6 Y 3.65
Ho1 0.0000 0.5000 0.0000 x2  6 Pr 3.60-3.61, 6 Tb 3.65